{"formula": "Pr5ThSb6", "functional": "PBE", "state": "relaxed", "lattice": [[7.877, 0.213, 0.000], [2.422, 7.500, 0.000], [1.211, 3.750, 6.821]], "species": ["Sb", "Sb", "Sb", "Sb", "Sb", "Sb", "Pr", "Pr", "Pr", "Pr", "Pr", "Th"], "fractional_positions": [[0.248, 0.587, 0.330], [0.752, 0.083, 0.330], [0.248, 0.917, 0.670], [0.248, 0.247, 0.000], [0.752, 0.413, 0.670], [0.752, 0.753, 0.000], [0.000, 0.334, 0.333], [0.000, 0.666, 0.667], [0.500, 0.168, 0.665], [0.500, 0.832, 0.335], [0.500, 0.500, 0.000], [0.000, 0.000, 0.000]], "dos_at_fermi_per_ev_cell": 3.2, "e_form_raw_ev_per_atom": -1.165, "m_tot_mub_per_cell": 0.0}

***

{"formula": "PrTh3Sb4", "functional": "PBE", "state": "relaxed", "lattice": [[-3.172, -3.144, 0.627], [3.921, -2.718, 6.207], [-5.024, 5.534, 2.327]], "species": ["Sb", "Sb", "Sb", "Sb", "Th", "Th", "Th", "Pr"], "fractional_positions": [[0.500, 0.749, 0.251], [0.000, 0.748, 0.748], [0.000, 0.252, 0.252], [0.500, 0.251, 0.749], [0.500, 0.500, 0.500], [0.000, 0.000, 0.500], [0.000, 0.500, 0.000], [0.500, 0.000, 0.000]], "dos_at_fermi_per_ev_cell": 4.5, "e_form_raw_ev_per_atom": -0.985, "m_tot_mub_per_cell": 0.0}

***

{"formula": "PrThSb2", "functional": "PBE", "state": "relaxed", "lattice": [[-1.316, 0.943, 3.526], [-3.566, -1.132, -1.028], [1.577, -7.262, 2.529]], "species": ["Th", "Pr", "Sb", "Sb"], "fractional_positions": [[0.500, 0.500, 0.000], [0.500, 0.500, 0.500], [0.000, 0.000, 0.756], [0.000, 0.000, 0.244]], "de_polymorph_ev_per_atom": 0.222, "dos_at_fermi_per_ev_cell": 4.1, "e_form_raw_ev_per_atom": -0.846, "m_tot_mub_per_cell": 0.0}

***

{"formula": "Pr3Th4Sb8", "functional": "PBE", "state": "relaxed", "lattice": [[-3.362, 4.829, 6.853], [2.240, -8.650, 1.281], [8.314, 1.735, -3.056]], "species": ["Pr", "Pr", "Pr", "Th", "Th", "Th", "Th", "Sb", "Sb", "Sb", "Sb", "Sb", "Sb", "Sb", "Sb"], "fractional_positions": [[0.500, 0.000, 0.500], [0.500, 0.500, 0.500], [0.500, 0.500, 0.000], [0.500, 0.000, 0.000], [0.000, 0.500, 0.000], [0.000, 0.000, 0.000], [0.000, 0.000, 0.500], [0.500, 0.751, 0.249], [0.996, 0.252, 0.252], [0.000, 0.252, 0.748], [0.499, 0.752, 0.752], [0.004, 0.748, 0.748], [0.501, 0.248, 0.248], [0.000, 0.748, 0.252], [0.500, 0.249, 0.751]], "dos_at_fermi_per_ev_cell": 5.4, "e_form_raw_ev_per_atom": -0.916, "m_tot_mub_per_cell": 0.0}

***

{"formula": "PrTh4Sb5", "functional": "PBE", "state": "relaxed", "lattice": [[4.433, 0.000, -0.855], [-0.329, 6.136, -1.703], [0.008, 0.007, 11.960]], "species": ["Sb", "Sb", "Sb", "Sb", "Sb", "Th", "Th", "Th", "Th", "Pr"], "fractional_positions": [[0.800, 0.300, 0.601], [0.000, 0.500, 0.000], [0.399, 0.899, 0.798], [0.200, 0.700, 0.399], [0.601, 0.101, 0.202], [0.600, 0.600, 0.199], [0.400, 0.400, 0.801], [0.799, 0.799, 0.599], [0.201, 0.201, 0.401], [0.000, 0.000, 0.000]], "dos_at_fermi_per_ev_cell": 6.1, "e_form_raw_ev_per_atom": -0.969, "m_tot_mub_per_cell": 0.0}

***

{"formula": "PrThSb2", "functional": "PBE", "state": "relaxed", "lattice": [[-2.220, 2.316, -3.022], [-2.692, -2.062, -2.816], [-7.639, 0.971, 3.141]], "species": ["Th", "Pr", "Sb", "Sb"], "fractional_positions": [[0.498, 0.498, 0.506], [0.670, 0.670, 0.991], [0.083, 0.083, 0.751], [0.250, 0.250, 0.251]], "de_polymorph_ev_per_atom": 0.107, "dos_at_fermi_per_ev_cell": 2.6, "e_form_raw_ev_per_atom": -0.961, "m_tot_mub_per_cell": 0.6}

***

{"formula": "Pr5Th3Sb8", "functional": "PBE", "state": "relaxed", "lattice": [[7.877, 0.000, 4.512], [2.646, 7.419, 4.512], [0.032, 0.022, 9.076]], "species": ["Sb", "Sb", "Sb", "Sb", "Sb", "Sb", "Sb", "Sb", "Th", "Th", "Th", "Pr", "Pr", "Pr", "Pr", "Pr"], "fractional_positions": [[0.751, 0.751, 0.747], [0.750, 0.247, 0.253], [0.249, 0.249, 0.253], [0.750, 0.750, 0.253], [0.247, 0.750, 0.253], [0.250, 0.753, 0.747], [0.250, 0.250, 0.747], [0.753, 0.250, 0.747], [0.000, 0.500, 0.500], [0.000, 0.000, 0.500], [0.500, 0.000, 0.500], [0.500, 0.000, 0.000], [0.500, 0.500, 0.000], [0.000, 0.000, 0.000], [0.000, 0.500, 0.000], [0.500, 0.500, 0.500]], "dos_at_fermi_per_ev_cell": 7.2, "e_form_raw_ev_per_atom": -1.104, "m_tot_mub_per_cell": 0.0}

***

{"formula": "Pr3ThSb4", "functional": "PBE", "state": "relaxed", "lattice": [[4.549, 0.000, 0.000], [0.000, 7.442, -2.550], [0.000, -0.074, 7.867]], "species": ["Sb", "Sb", "Sb", "Sb", "Th", "Pr", "Pr", "Pr"], "fractional_positions": [[0.000, 0.247, 0.247], [0.500, 0.752, 0.248], [0.000, 0.753, 0.753], [0.500, 0.248, 0.752], [0.500, 0.000, 0.000], [0.500, 0.500, 0.500], [0.000, 0.500, 0.000], [0.000, 0.000, 0.500]], "dos_at_fermi_per_ev_cell": 1.8, "e_form_raw_ev_per_atom": -1.144, "m_tot_mub_per_cell": 0.0}

***

{"formula": "PrThSb2", "functional": "PBE", "state": "relaxed", "lattice": [[5.902, 0.000, -2.492], [-1.053, 5.807, -2.492], [-0.166, -0.199, 7.841]], "species": ["Th", "Th", "Sb", "Sb", "Sb", "Sb", "Pr", "Pr"], "fractional_positions": [[0.250, 0.750, 0.500], [0.500, 0.500, 0.000], [0.748, 0.748, 0.496], [0.498, 0.998, 0.996], [0.002, 0.502, 0.004], [0.252, 0.252, 0.504], [0.750, 0.250, 0.500], [0.000, 0.000, 0.000]], "de_polymorph_ev_per_atom": 0.000, "dos_at_fermi_per_ev_cell": 3.4, "e_form_raw_ev_per_atom": -1.068, "m_tot_mub_per_cell": 0.0}

***

{"formula": "Pr2ThSb3", "functional": "PBE", "state": "relaxed", "lattice": [[-1.270, 3.442, 2.687], [-3.501, -4.057, 3.541], [7.758, -0.835, 0.889]], "species": ["Sb", "Sb", "Sb", "Pr", "Pr", "Th"], "fractional_positions": [[0.164, 0.664, 0.828], [0.500, 0.000, 0.500], [0.836, 0.336, 0.172], [0.833, 0.833, 0.165], [0.167, 0.167, 0.835], [0.500, 0.500, 0.500]], "dos_at_fermi_per_ev_cell": 2.3, "e_form_raw_ev_per_atom": -1.118, "m_tot_mub_per_cell": 0.0}

***

{"formula": "Pr2TmThSb5", "functional": "PBE", "state": "relaxed", "lattice": [[5.223, 0.000, 0.000], [0.000, 5.223, 0.000], [0.000, 0.000, 11.894]], "species": ["Tm", "Sb", "Sb", "Sb", "Sb", "Sb", "Th", "Pr", "Pr"], "fractional_positions": [[0.000, 0.000, 0.500], [0.000, 0.000, 0.250], [0.500, 0.000, 0.500], [0.000, 0.000, 0.750], [0.500, 0.500, 0.000], [0.000, 0.500, 0.500], [0.000, 0.000, 0.000], [0.500, 0.500, 0.285], [0.500, 0.500, 0.715]], "dos_at_fermi_per_ev_cell": 4.2, "e_form_raw_ev_per_atom": -0.336, "m_tot_mub_per_cell": 0.0}

***

{"formula": "Pr2YTh3Sb6", "functional": "PBE", "state": "relaxed", "lattice": [[-1.916, 1.877, 3.625], [4.918, -5.304, 5.347], [6.631, 7.000, -2.924]], "species": ["Th", "Th", "Th", "Pr", "Pr", "Sb", "Sb", "Sb", "Sb", "Sb", "Sb", "Y"], "fractional_positions": [[0.168, 0.834, 0.336], [0.500, 0.500, 0.000], [0.832, 0.166, 0.664], [0.834, 0.667, 0.667], [0.166, 0.333, 0.333], [0.664, 0.080, 0.328], [0.334, 0.415, 0.668], [0.002, 0.756, 0.003], [0.666, 0.585, 0.332], [0.998, 0.244, 0.997], [0.336, 0.920, 0.672], [0.500, 0.000, 0.000]], "dos_at_fermi_per_ev_cell": 6.2, "e_form_raw_ev_per_atom": -1.053, "m_tot_mub_per_cell": 0.0}

***

{"formula": "PrTiSb2", "functional": "PBE", "state": "relaxed", "lattice": [[4.268, 0.001, 0.001], [-0.001, 4.270, -0.003], [-2.133, -2.135, 6.330]], "species": ["Ti", "Sb", "Sb", "Pr"], "fractional_positions": [[0.471, 0.631, 0.728], [0.598, 0.258, 0.982], [0.844, 0.505, 0.475], [0.221, 0.881, 0.228]], "de_polymorph_ev_per_atom": 0.000, "dos_at_fermi_per_ev_cell": 3.1, "e_form_raw_ev_per_atom": -0.484, "m_tot_mub_per_cell": 0.9}

***

{"formula": "PrTiSb3", "functional": "PBE", "state": "relaxed", "lattice": [[6.216, 0.000, 0.000], [0.000, 6.342, 0.000], [0.000, 0.000, 13.401]], "species": ["Sb", "Sb", "Sb", "Sb", "Sb", "Sb", "Sb", "Sb", "Sb", "Sb", "Sb", "Sb", "Ti", "Ti", "Ti", "Ti", "Pr", "Pr", "Pr", "Pr"], "fractional_positions": [[0.000, 0.250, 0.498], [0.750, 0.390, 0.929], [0.500, 0.750, 0.502], [0.250, 0.610, 0.071], [0.750, 0.995, 0.776], [0.250, 0.110, 0.929], [0.250, 0.005, 0.224], [0.000, 0.750, 0.502], [0.750, 0.495, 0.224], [0.250, 0.505, 0.776], [0.500, 0.250, 0.498], [0.750, 0.890, 0.071], [0.500, 0.750, 0.911], [0.500, 0.250, 0.089], [0.000, 0.750, 0.911], [0.000, 0.250, 0.089], [0.750, 0.493, 0.686], [0.250, 0.507, 0.314], [0.750, 0.993, 0.314], [0.250, 0.007, 0.686]], "dos_at_fermi_per_ev_cell": 11.2, "e_form_raw_ev_per_atom": -0.717, "m_tot_mub_per_cell": 0.0}

***

{"formula": "Pr3TiSb5", "functional": "PBE", "state": "relaxed", "lattice": [[-7.337, 5.266, -3.139], [0.603, -2.323, 9.255], [3.262, 5.195, 1.091]], "species": ["Sb", "Sb", "Sb", "Sb", "Sb", "Sb", "Sb", "Sb", "Sb", "Sb", "Pr", "Pr", "Pr", "Pr", "Pr", "Pr", "Ti", "Ti"], "fractional_positions": [[0.000, 0.747, 0.750], [0.333, 0.667, 0.000], [0.253, 0.253, 0.750], [0.333, 0.667, 0.500], [0.253, 0.000, 0.250], [0.747, 0.000, 0.750], [0.747, 0.747, 0.250], [0.000, 0.253, 0.250], [0.667, 0.333, 0.500], [0.667, 0.333, 0.000], [0.000, 0.381, 0.750], [0.000, 0.619, 0.250], [0.619, 0.000, 0.250], [0.619, 0.619, 0.750], [0.381, 0.000, 0.750], [0.381, 0.381, 0.250], [0.000, 0.000, 0.000], [0.000, 0.000, 0.500]], "dos_at_fermi_per_ev_cell": 5.4, "e_form_raw_ev_per_atom": -0.910, "m_tot_mub_per_cell": 0.0}

***

{"formula": "PrTiSb2", "functional": "PBE", "state": "relaxed", "lattice": [[-2.514, -2.568, -0.732], [-1.406, -2.018, 2.721], [-8.661, 5.309, 1.933]], "species": ["Ti", "Sb", "Sb", "Pr"], "fractional_positions": [[0.500, 0.500, 0.500], [0.105, 0.105, 0.684], [0.895, 0.895, 0.316], [0.000, 0.000, 0.000]], "de_polymorph_ev_per_atom": 0.350, "dos_at_fermi_per_ev_cell": 3.8, "e_form_raw_ev_per_atom": -0.134, "m_tot_mub_per_cell": 0.0}

***

{"formula": "Pr4TlSb3", "functional": "PBE", "state": "relaxed", "lattice": [[6.452, 0.000, 0.000], [0.000, 6.452, 0.000], [0.000, 0.000, 6.452]], "species": ["Pr", "Pr", "Pr", "Pr", "Sb", "Sb", "Sb", "Tl"], "fractional_positions": [[0.500, 0.000, 0.000], [0.000, 0.500, 0.000], [0.500, 0.500, 0.500], [0.000, 0.000, 0.500], [0.000, 0.500, 0.500], [0.500, 0.500, 0.000], [0.500, 0.000, 0.500], [0.000, 0.000, 0.000]], "dos_at_fermi_per_ev_cell": 3.9, "e_form_raw_ev_per_atom": -0.915, "m_tot_mub_per_cell": 0.0}

***

{"formula": "Pr7Tl2Sb2", "functional": "PBE", "state": "relaxed", "lattice": [[-4.069, 4.415, 3.997], [-5.469, -0.053, -5.507], [-1.858, -6.703, 1.910]], "species": ["Pr", "Pr", "Pr", "Pr", "Pr", "Pr", "Pr", "Sb", "Sb", "Tl", "Tl"], "fractional_positions": [[0.000, 0.000, 0.000], [0.500, 0.282, 0.000], [0.500, 0.718, 0.000], [0.500, 0.262, 0.500], [0.000, 0.718, 0.500], [0.000, 0.282, 0.500], [0.500, 0.738, 0.500], [0.279, 0.000, 0.721], [0.721, 0.000, 0.279], [0.174, 0.500, 0.174], [0.826, 0.500, 0.826]], "dos_at_fermi_per_ev_cell": 14.2, "e_form_raw_ev_per_atom": -0.359, "m_tot_mub_per_cell": 0.0}

***

{"formula": "Pr5TlSb4", "functional": "PBE", "state": "relaxed", "lattice": [[6.434, 0.000, 0.000], [3.217, 7.220, 0.000], [3.217, 0.000, 7.220]], "species": ["Tl", "Pr", "Pr", "Pr", "Pr", "Pr", "Sb", "Sb", "Sb", "Sb"], "fractional_positions": [[0.002, 0.000, 0.000], [0.105, 0.586, 0.205], [0.896, 0.414, 0.795], [0.692, 0.205, 0.414], [0.310, 0.795, 0.586], [0.502, 0.000, 0.000], [0.800, 0.802, 0.600], [0.400, 0.400, 0.802], [0.202, 0.198, 0.400], [0.602, 0.600, 0.198]], "dos_at_fermi_per_ev_cell": 5.3, "e_form_raw_ev_per_atom": -0.979, "m_tot_mub_per_cell": 0.0}

***

{"formula": "Pr8TlSb2", "functional": "PBE", "state": "relaxed", "lattice": [[5.075, 0.000, 0.000], [0.000, 7.442, 0.593], [-2.537, -2.461, 9.649]], "species": ["Tl", "Pr", "Pr", "Pr", "Pr", "Pr", "Pr", "Pr", "Pr", "Sb", "Sb"], "fractional_positions": [[0.500, 0.000, 0.000], [0.664, 0.020, 0.328], [0.216, 0.350, 0.432], [0.784, 0.650, 0.568], [0.405, 0.509, 0.809], [0.983, 0.244, 0.967], [0.595, 0.491, 0.191], [0.017, 0.756, 0.033], [0.336, 0.980, 0.672], [0.820, 0.237, 0.639], [0.180, 0.763, 0.361]], "dos_at_fermi_per_ev_cell": 13.6, "e_form_raw_ev_per_atom": -0.424, "m_tot_mub_per_cell": 0.0}

***

{"formula": "Pr8Tl3Sb2", "functional": "PBE", "state": "relaxed", "lattice": [[-1.312, -5.042, 3.729], [7.087, -4.494, -3.583], [0.994, 4.935, 7.395]], "species": ["Pr", "Pr", "Pr", "Pr", "Pr", "Pr", "Pr", "Pr", "Sb", "Sb", "Tl", "Tl", "Tl"], "fractional_positions": [[0.375, 0.422, 0.248], [0.866, 0.596, 0.192], [0.911, 0.180, 0.360], [0.625, 0.578, 0.752], [0.625, 0.174, 0.752], [0.089, 0.820, 0.640], [0.134, 0.404, 0.808], [0.375, 0.826, 0.248], [0.580, 0.772, 0.543], [0.420, 0.228, 0.457], [0.500, 0.000, 0.000], [0.000, 0.815, 0.000], [0.000, 0.185, 0.000]], "dos_at_fermi_per_ev_cell": 13.6, "e_form_raw_ev_per_atom": -0.370, "m_tot_mub_per_cell": 0.0}

***

{"formula": "Pr5TlSb2", "functional": "PBE", "state": "relaxed", "lattice": [[-0.418, 5.712, -0.835], [-4.186, -3.508, -1.844], [-8.455, 1.711, 15.941]], "species": ["Pr", "Pr", "Pr", "Pr", "Pr", "Pr", "Pr", "Pr", "Pr", "Pr", "Sb", "Sb", "Sb", "Sb", "Tl", "Tl"], "fractional_positions": [[0.906, 0.812, 0.598], [0.094, 0.188, 0.098], [0.757, 0.515, 0.250], [0.414, 0.828, 0.079], [0.243, 0.485, 0.750], [0.094, 0.188, 0.402], [0.414, 0.828, 0.421], [0.586, 0.172, 0.579], [0.586, 0.172, 0.921], [0.906, 0.812, 0.902], [0.238, 0.477, 0.927], [0.762, 0.523, 0.427], [0.238, 0.477, 0.573], [0.762, 0.523, 0.073], [0.578, 0.156, 0.750], [0.422, 0.844, 0.250]], "dos_at_fermi_per_ev_cell": 12.9, "e_form_raw_ev_per_atom": -0.530, "m_tot_mub_per_cell": 0.0}